Entry 1:
# ScNbTc

A relaxed structure of ScNbTc (PBE, Alexandria).

The space group is Cmcm (No. 63) and the conventional cell measures 3.291, 13.925 and 4.742 Å, with angles of 90.00, 90.00 and 90.00 degrees. The distinct sites, in fractional coordinates, are Sc at (0.000, 0.077, 0.250), Nb at (0.000, 0.234, 0.750) and Tc at (0.000, 0.406, 0.250).

For the magnetization, the calculation gives 0.00 μB/f.u. The value obtained for the formation energy from the elements is -0.20 eV/atom. The value obtained for the density is 7.21 g cm⁻³. Its offset from the most stable computed form is 0.002 eV/atom.



Entry 2:
# SmHo3Tl

A relaxed structure of SmHo3Tl (PBE, Alexandria).

The space group is Cmcm (No. 63) and the conventional cell measures 4.837, 25.402 and 4.812 Å, with angles of 90.00, 90.00 and 90.00 degrees. The distinct sites, in fractional coordinates, are Sm at (0.000, 0.148, 0.250), Ho at (0.000, 0.047, 0.750), Ho at (0.000, 0.250, 0.750), Ho at (0.000, 0.449, 0.750) and Tl at (0.000, 0.347, 0.250).

For the magnetization, the calculation gives 0.01 μB/f.u. The value obtained for the formation energy from the elements is -0.12 eV/atom. The value obtained for the density is 9.54 g cm⁻³. Its offset from the most stable computed form is 0.000 eV/atom.



Entry 3:
# ScHS2

A relaxed structure of ScHS2 (PBE, Alexandria).

The space group is R-3m (No. 166, hexagonal axes) and the conventional cell measures 3.7884, 3.7884 and 17.9916 Å, with angles of 90.00, 90.00 and 120.00 degrees. The distinct sites, in fractional coordinates, are Sc at (0.0000, 0.0000, 0.0000), H at (0.0000, 0.0000, 0.5000) and S at (0.0000, 0.0000, 0.4098).

For the magnetization, the calculation gives 0.00 μB/f.u. The value obtained for the density is 2.45 g cm⁻³. Its offset from the most stable computed form is 0.034 eV/atom.



> Which value of density does entry 3 give?

2.45 g cm⁻³



> The highest offset from the most stable computed form belongs to which entry?

ScHS2